8
Lattice="6.3585 0.0000 0.0000 0.0000 6.3585 0.0000 0.0000 0.0000 6.3585" Properties=species:S:1:pos:R:3 comment="BiW, optimized geometry, DFT PBE" energy_ev_per_atom=-6.4831 pbc="T T T"
Bi 0.0000 0.0000 0.0000
Bi 0.0000 3.1792 3.1792
Bi 3.1792 0.0000 3.1792
Bi 3.1792 3.1792 0.0000
W 1.5896 1.5896 4.7688
W 1.5896 4.7688 1.5896
W 4.7688 1.5896 1.5896
W 4.7688 4.7688 4.7688



10
Lattice="4.2674 -5.8676 0.0000 4.2674 5.8676 0.0000 0.0000 0.0000 3.6396" Properties=species:S:1:pos:R:3 comment="NiPt3S6, optimized geometry, DFT PBE" energy_ev_per_atom=-5.0414 pbc="T T T"
Ni 0.0000 0.0000 0.0000
Pt 2.1337 2.9338 1.8198
Pt 2.1337 -2.9338 1.8198
Pt 4.2674 0.0000 0.0000
S 4.2674 4.2327 1.8198
S 2.5026 1.4601 0.0000
S 2.5026 -1.4601 0.0000
S 6.0322 1.4601 0.0000
S 6.0322 -1.4601 0.0000
S 4.2674 -4.2327 1.8198



10
Lattice="3.5835 0.0000 0.0000 0.0000 3.5835 0.0000 0.0000 0.0000 18.3065" Properties=species:S:1:pos:R:3 comment="Tb5Zn4Cd, optimized geometry, DFT PBE" formation_enthalpy_0k_mev_per_atom=-340.9 pbc="T T T"
Tb 0.0000 0.0000 0.0000
Tb 0.0000 0.0000 3.5564
Tb 0.0000 0.0000 7.0854
Tb 0.0000 0.0000 11.2212
Tb 0.0000 0.0000 14.7501
Zn 1.7917 1.7917 1.7843
Zn 1.7917 1.7917 5.3476
Zn 1.7917 1.7917 12.9590
Zn 1.7917 1.7917 16.5222
Cd 1.7917 1.7917 9.1533



8
Lattice="3.6712 0.0000 0.0000 0.0000 3.6712 0.0000 0.0000 0.0000 7.5555" Properties=species:S:1:pos:R:3 comment="NdDyNi2B2C2, optimized geometry, DFT PBE" energy_ev_per_atom=-6.9793 pbc="T T T"
Nd 0.0000 0.0000 0.0000
Dy 1.8356 1.8356 4.9868
Ni 0.0000 1.8356 2.5013
Ni 1.8356 0.0000 2.5013
B 0.0000 0.0000 3.5397
B 1.8356 1.8356 1.4023
C 0.0000 0.0000 5.0327
C 1.8356 1.8356 7.4585